# 1
! ScBrCl2, optimized geometry, DFT PBE; values from VASP
&SYSTEM
  ibrav = 0, nat = 4, ntyp = 3
/
ATOMIC_SPECIES
Sc 44.96 Sc.upf
Br 79.90 Br.upf
Cl 35.45 Cl.upf
ATOMIC_POSITIONS crystal
Sc 0.000 0.000 0.000
Br 0.655 0.655 0.299
Cl 0.357 0.357 0.999
Cl 0.505 0.505 0.736
CELL_PARAMETERS angstrom
6.534 -1.702 0.000
6.534 1.702 0.000
-3.417 0.000 6.032
! - calculated total energy (eV for the cell shown) = -19.32
! - symmetry = Cm (8)
! - calculated density (Mg/m³) = 2.42
! - formation energy without anion corrections (meV per atom) = -1905



# 2
! ScBr2Cl, optimized geometry, DFT PBE; values from VASP
&SYSTEM
  ibrav = 0, nat = 4, ntyp = 3
/
ATOMIC_SPECIES
Sc 44.96 Sc.upf
Br 79.90 Br.upf
Cl 35.45 Cl.upf
ATOMIC_POSITIONS crystal
Sc 0.000 0.000 0.000
Br 0.358 0.358 0.859
Br 0.642 0.642 0.141
Cl 0.500 0.500 0.500
CELL_PARAMETERS angstrom
7.604 -1.730 0.000
7.604 1.730 0.000
-1.669 0.000 4.760
! - calculated total energy (eV for the cell shown) = -17.38
! - symmetry = C2/m (12)
! - calculated density (Mg/m³) = 3.18
! - formation energy without anion corrections (meV per atom) = -1463



# 3
! Sc4BrCl, optimized geometry, DFT PBE; values from VASP
&SYSTEM
  ibrav = 0, nat = 6, ntyp = 3
/
ATOMIC_SPECIES
Sc 44.96 Sc.upf
Br 79.90 Br.upf
Cl 35.45 Cl.upf
ATOMIC_POSITIONS crystal
Sc 0.125 0.125 0.125
Sc 0.125 0.125 0.626
Sc 0.125 0.626 0.125
Sc 0.626 0.125 0.125
Br 0.750 0.750 0.750
Cl 0.500 0.500 0.500
CELL_PARAMETERS angstrom
0.000 4.317 4.317
4.317 0.000 4.317
4.317 4.317 0.000
! - calculated total energy (eV for the cell shown) = -27.75
! - symmetry = F-43m (216)
! - calculated density (Mg/m³) = 3.05
! - formation energy without anion corrections (meV per atom) = 183